1.
Rb3Ho2MnS6 | PBE | relaxed

Results
- SG: C2/m
- Uncorrected formation energy: -1.4474 eV per atom
- DFT total energy: -5.2801 eV per atom
- Total moment: 4.0 μB per formula unit

Unit cell a=6.808 b=6.808 c=8.029 alpha=99.08 beta=99.08 gamma=117.97
Last column: magnetic moment on the atom in μB.
Positions (direct):
Rb 0.828 0.172 0.500  0.00
Rb 0.500 0.500 0.500  0.01
Rb 0.172 0.828 0.500  0.00
S 0.638 0.941 0.824  -0.03
S 0.059 0.362 0.176  -0.03
S 0.941 0.638 0.824  -0.03
S 0.271 0.271 0.796  0.04
S 0.729 0.729 0.204  0.04
S 0.362 0.059 0.176  -0.03
Mn 0.000 0.000 0.000  3.73
Ho 0.663 0.337 0.000  0.02
Ho 0.337 0.663 0.000  0.02

***

2.
Rb4Ho3MnS8 | PBE | relaxed

Results
- SG: R-3m
- Uncorrected formation energy: -1.5392 eV per atom
- DFT total energy: -5.2763 eV per atom
- Total moment: 4.0 μB per formula unit
- D(E_F): 3.7 states/eV/cell

Unit cell a=7.975 b=8.934 c=7.978 alpha=116.52 beta=119.99 gamma=90.00
Last column: magnetic moment on the atom in μB.
Positions (direct):
Rb 0.500 0.000 0.000  0.00
Rb 0.500 0.000 0.500  0.00
Rb 0.000 0.000 0.000  0.00
Rb 0.000 0.000 0.500  0.00
Mn 0.000 0.500 0.000  3.83
S 0.731 0.694 0.462  0.00
S 0.220 0.684 0.965  -0.02
S 0.745 0.684 0.965  -0.02
S 0.269 0.306 0.538  0.00
S 0.255 0.316 0.035  -0.02
S 0.220 0.685 0.440  -0.02
S 0.780 0.315 0.560  -0.02
S 0.780 0.316 0.035  -0.02
Ho 0.500 0.500 0.000  0.02
Ho 0.500 0.500 0.500  0.02
Ho 0.000 0.500 0.500  0.02

***

3.
Rb2Ho2MnS6 | PBE | relaxed

Results
- SG: C2/m
- Uncorrected formation energy: -1.4296 eV per atom
- DFT total energy: -5.5228 eV per atom
- Total moment: 3.0 μB per formula unit

Unit cell a=6.618 b=6.618 c=8.175 alpha=98.33 beta=98.33 gamma=119.28
Last column: magnetic moment on the atom in μB.
Positions (direct):
S 0.234 0.234 0.322  -0.03
S 0.364 0.065 0.680  -0.03
S 0.065 0.364 0.680  -0.03
S 0.766 0.766 0.678  -0.03
S 0.636 0.935 0.320  -0.03
S 0.935 0.636 0.320  -0.03
Rb 0.173 0.827 0.000  0.00
Rb 0.827 0.173 0.000  0.00
Ho 0.333 0.667 0.500  0.03
Ho 0.667 0.333 0.500  0.03
Mn 0.000 0.000 0.500  3.05

***

4.
Rb2HoMnSe4 | PBE | relaxed

Results
- SG: Imma
- Uncorrected formation energy: -1.0927 eV per atom
- DFT total energy: -4.7953 eV per atom
- Total moment: 4.0 μB per formula unit
- D(E_F): 2.6 states/eV/cell

Unit cell a=8.765 b=8.765 c=8.618 alpha=119.45 beta=119.45 gamma=92.61
Last column: magnetic moment on the atom in μB.
Positions (direct):
Se 0.765 0.735 0.936  -0.12
Se 0.235 0.265 0.436  -0.12
Se 0.205 0.729 0.967  0.02
Se 0.771 0.295 0.533  0.02
Se 0.765 0.735 0.564  -0.12
Se 0.229 0.705 0.467  0.02
Se 0.795 0.271 0.033  0.02
Se 0.235 0.265 0.064  -0.12
Rb 0.000 0.000 0.500  0.00
Rb 0.500 0.000 0.000  0.00
Rb 0.500 0.500 0.000  0.00
Rb 0.500 0.000 0.500  0.00
Ho 0.000 0.500 0.000  0.04
Ho 0.000 0.500 0.500  0.04
Mn 0.500 0.500 0.500  3.98
Mn 0.000 0.000 0.000  3.98

***

5.
Rb2HoMn2Se4 | PBE | relaxed

Results
- SG: C2/m
- Uncorrected formation energy: -1.0853 eV per atom
- DFT total energy: -5.3954 eV per atom
- Total moment: 9.0 μB per formula unit
- D(E_F): 2.5 states/eV/cell

Unit cell a=4.211 b=8.191 c=8.039 alpha=108.36 beta=105.19 gamma=90.00
Last column: magnetic moment on the atom in μB.
Positions (direct):
Rb 0.132 0.554 0.263  0.01
Rb 0.868 0.446 0.737  0.01
Se 0.520 0.772 0.040  0.03
Se 0.198 0.171 0.395  0.07
Se 0.480 0.228 0.960  0.03
Se 0.802 0.829 0.605  0.07
Mn 0.321 0.016 0.642  3.90
Mn 0.679 0.984 0.358  3.90
Ho 0.000 0.000 0.000  0.04

***

6.
Rb3Ho2MnSe6 | PBE | relaxed

Results
- SG: C2/m
- Uncorrected formation energy: -1.3505 eV per atom
- DFT total energy: -4.8618 eV per atom
- Total moment: 4.0 μB per formula unit
- D(E_F): 0.3 states/eV/cell

Unit cell a=7.110 b=7.110 c=8.362 alpha=99.05 beta=99.05 gamma=118.13
Last column: magnetic moment on the atom in μB.
Positions (direct):
Ho 0.662 0.338 0.000  0.02
Ho 0.338 0.662 0.000  0.02
Se 0.059 0.365 0.180  -0.04
Se 0.635 0.941 0.820  -0.04
Se 0.267 0.267 0.795  0.04
Se 0.365 0.059 0.180  -0.04
Se 0.941 0.635 0.820  -0.04
Se 0.733 0.733 0.205  0.04
Rb 0.827 0.173 0.500  0.00
Rb 0.173 0.827 0.500  0.00
Rb 0.500 0.500 0.500  0.01
Mn 0.000 0.000 0.000  3.80

***

7.
RbHo2MnSe4 | PBE | relaxed

Results
- SG: Cmcm
- Uncorrected formation energy: -1.4270 eV per atom
- DFT total energy: -5.5809 eV per atom
- Total moment: 4.1 μB per formula unit
- D(E_F): 5.9 states/eV/cell

Unit cell a=4.143 b=7.489 c=14.453 alpha=90.00 beta=90.00 gamma=106.06
Last column: magnetic moment on the atom in μB.
Positions (direct):
Ho 0.632 0.263 0.439  -0.06
Ho 0.368 0.737 0.561  -0.06
Ho 0.632 0.263 0.061  -0.06
Ho 0.368 0.737 0.939  -0.06
Rb 0.891 0.783 0.250  0.00
Rb 0.109 0.217 0.750  0.00
Se 0.571 0.141 0.250  0.04
Se 0.000 0.000 0.000  0.01
Se 0.429 0.859 0.750  0.04
Se 0.738 0.476 0.893  0.04
Se 0.000 0.000 0.500  0.01
Se 0.262 0.524 0.107  0.04
Se 0.262 0.524 0.393  0.04
Se 0.738 0.476 0.607  0.04
Mn 0.832 0.665 0.750  3.73
Mn 0.168 0.335 0.250  3.73

***

8.
RbHoMnSe4 | PBE | relaxed

Results
- SG: P2_1/m
- Uncorrected formation energy: -1.0715 eV per atom
- DFT total energy: -5.1648 eV per atom
- Total moment: 3.0 μB per formula unit
- D(E_F): 6.8 states/eV/cell

Unit cell a=6.685 b=6.662 c=9.584 alpha=90.00 beta=108.95 gamma=90.00
Last column: magnetic moment on the atom in μB.
Positions (direct):
Se 0.024 0.509 0.705  -0.06
Se 0.577 0.250 0.826  -0.01
Se 0.579 0.250 0.425  -0.04
Se 0.423 0.750 0.174  -0.01
Se 0.976 0.009 0.295  -0.06
Se 0.976 0.491 0.295  -0.06
Se 0.421 0.750 0.575  -0.04
Se 0.024 0.991 0.705  -0.06
Rb 0.256 0.250 0.059  0.00
Rb 0.744 0.750 0.941  0.00
Mn 0.222 0.750 0.329  2.86
Mn 0.778 0.250 0.671  2.86
Ho 0.766 0.750 0.450  0.07
Ho 0.234 0.250 0.550  0.07

***

9.
RbHoMn2Se4 | PBE | relaxed

Results
- SG: I222
- Uncorrected formation energy: -0.6161 eV per atom
- DFT total energy: -5.3439 eV per atom
- Total moment: 4.0 μB per formula unit

Unit cell a=6.861 b=6.987 c=6.987 alpha=72.39 beta=60.60 gamma=60.60
Last column: magnetic moment on the atom in μB.
Positions (direct):
Se 0.930 0.492 0.147  0.00
Se 0.569 0.508 0.853  0.00
Se 0.431 0.147 0.492  0.00
Se 0.070 0.853 0.508  0.00
Mn 0.108 0.392 0.392  1.75
Mn 0.892 0.608 0.608  1.75
Rb 0.000 0.000 0.000  0.00
Ho 0.500 0.500 0.500  0.04

***

10.
Rb4Ho3MnSe8 | PBE | relaxed

Results
- SG: C2/m
- Uncorrected formation energy: -1.4416 eV per atom
- DFT total energy: -4.8572 eV per atom
- Total moment: 4.0 μB per formula unit
- D(E_F): 3.3 states/eV/cell

Unit cell a=8.325 b=9.310 c=8.319 alpha=116.54 beta=120.02 gamma=90.00
Last column: magnetic moment on the atom in μB.
Positions (direct):
Rb 0.500 0.000 0.500  0.00
Rb 0.500 0.000 0.000  0.00
Rb 0.000 0.000 0.000  0.00
Rb 0.000 0.000 0.500  0.00
Se 0.222 0.688 0.966  -0.03
Se 0.732 0.697 0.465  0.00
Se 0.779 0.313 0.559  -0.03
Se 0.255 0.312 0.034  -0.03
Se 0.745 0.688 0.966  -0.03
Se 0.268 0.303 0.535  0.00
Se 0.221 0.687 0.441  -0.03
Se 0.778 0.312 0.034  -0.03
Mn 0.000 0.500 0.000  3.89
Ho 0.500 0.500 0.000  0.02
Ho 0.000 0.500 0.500  0.02
Ho 0.500 0.500 0.500  0.02

***

11.
Rb2Ho2MnSe6 | PBE | relaxed

Results
- SG: C2/m
- Uncorrected formation energy: -1.3168 eV per atom
- DFT total energy: -5.0593 eV per atom
- Total moment: 3.0 μB per formula unit

Unit cell a=6.915 b=6.915 c=8.540 alpha=98.37 beta=98.37 gamma=119.43
Last column: magnetic moment on the atom in μB.
Positions (direct):
Se 0.932 0.631 0.315  -0.04
Se 0.235 0.235 0.318  -0.05
Se 0.631 0.932 0.315  -0.04
Se 0.369 0.068 0.685  -0.04
Se 0.765 0.765 0.682  -0.05
Se 0.068 0.369 0.685  -0.04
Ho 0.332 0.668 0.500  0.03
Ho 0.668 0.332 0.500  0.03
Rb 0.827 0.173 0.000  0.00
Rb 0.173 0.827 0.000  0.00
Mn 0.000 0.000 0.500  3.19

***

12.
Rb2HoMnTe4 | PBE | relaxed

Results
- SG: Imma
- Uncorrected formation energy: -0.8235 eV per atom
- DFT total energy: -4.3547 eV per atom
- Total moment: 4.0 μB per formula unit
- D(E_F): 3.8 states/eV/cell

Unit cell a=9.370 b=9.370 c=9.224 alpha=119.49 beta=119.49 gamma=92.25
Last column: magnetic moment on the atom in μB.
Positions (direct):
Te 0.768 0.293 0.530  0.01
Te 0.793 0.268 0.030  0.01
Te 0.235 0.265 0.438  -0.12
Te 0.765 0.735 0.562  -0.12
Te 0.232 0.707 0.470  0.01
Te 0.235 0.265 0.062  -0.12
Te 0.765 0.735 0.938  -0.12
Te 0.207 0.732 0.970  0.01
Rb 0.000 0.000 0.500  0.00
Rb 0.500 0.000 0.000  0.00
Rb 0.500 0.500 0.000  0.00
Rb 0.500 0.000 0.500  0.00
Ho 0.000 0.500 0.000  0.04
Ho 0.000 0.500 0.500  0.04
Mn 0.000 0.000 0.000  4.02
Mn 0.500 0.500 0.500  4.02

***

13.
HoMnRe | PBE | relaxed

Results
- SG: Imma
- DFT total energy: -8.8273 eV per atom
- Total moment: 1.4 μB per formula unit
- D(E_F): 5.6 states/eV/cell

Unit cell a=5.299 b=5.299 c=5.299 alpha=90.07 beta=121.53 gamma=118.42
Last column: magnetic moment on the atom in μB.
Positions (direct):
Ho 0.750 0.873 0.123  -0.20
Ho 0.250 0.127 0.877  -0.20
Re 0.000 0.500 0.000  -0.22
Re 0.500 0.500 0.500  -0.22
Mn 0.500 0.000 0.500  1.86
Mn 0.000 0.500 0.500  1.86

***

14.
HoMn2Re | PBE | relaxed

Results
- SG: P2/c
- DFT total energy: -8.3267 eV per atom
- Total moment: 2.9 μB per formula unit
- D(E_F): 19.6 states/eV/cell

Unit cell a=7.693 b=9.808 c=6.334 alpha=90.00 beta=90.00 gamma=141.61
Last column: magnetic moment on the atom in μB.
Positions (direct):
Mn 0.858 0.358 0.391  0.01
Mn 0.500 0.000 0.500  2.19
Mn 0.500 0.500 0.500  2.19
Mn 0.858 0.858 0.609  0.01
Mn 0.000 0.000 0.000  3.32
Mn 0.142 0.642 0.609  0.01
Mn 0.000 0.500 0.000  3.32
Mn 0.142 0.142 0.391  0.01
Ho 0.000 0.750 0.274  -0.03
Ho 0.500 0.250 0.727  -0.03
Ho 0.500 0.750 0.273  -0.03
Ho 0.000 0.250 0.726  -0.03
Re 0.000 0.250 0.217  0.01
Re 0.500 0.750 0.782  0.01
Re 0.000 0.750 0.783  0.01
Re 0.500 0.250 0.218  0.01

***

15.
Ho2MnRe3 | PBE | relaxed

Results
- SG: R-3m
- DFT total energy: -9.4576 eV per atom
- Total moment: 2.5 μB per formula unit
- D(E_F): 5.1 states/eV/cell

Unit cell a=5.297 b=5.297 c=5.462 alpha=90.04 beta=118.96 gamma=120.00
Last column: magnetic moment on the atom in μB.
Positions (direct):
Ho 0.752 0.376 0.128  -0.13
Ho 0.248 0.624 0.872  -0.13
Mn 0.000 0.000 0.000  2.74
Re 0.500 0.500 0.500  -0.03
Re 0.500 0.000 0.500  -0.04
Re 0.000 0.000 0.500  -0.03

***

16.
HoMnRe | PBE | relaxed

Results
- SG: P4_12_12
- DFT total energy: -8.1814 eV per atom
- Total moment: 0.0 μB per formula unit
- D(E_F): 10.3 states/eV/cell

Unit cell a=6.571 b=6.571 c=5.738 alpha=90.00 beta=90.00 gamma=90.00
Positions (direct):
Re 0.811 0.811 0.500
Re 0.689 0.311 0.750
Re 0.189 0.189 0.000
Re 0.311 0.689 0.250
Ho 0.761 0.239 0.250
Ho 0.739 0.739 0.000
Ho 0.239 0.761 0.750
Ho 0.261 0.261 0.500
Mn 0.057 0.943 0.250
Mn 0.557 0.557 0.500
Mn 0.443 0.443 0.000
Mn 0.943 0.057 0.750

***

17.
Ho2Mn9Re | PBE | relaxed

Results
- SG: C2/m
- DFT total energy: -8.4593 eV per atom
- Total moment: 4.0 μB per formula unit
- D(E_F): 15.5 states/eV/cell

Unit cell a=4.810 b=4.810 c=8.688 alpha=74.53 beta=74.53 gamma=62.56
Last column: magnetic moment on the atom in μB.
Positions (direct):
Mn 0.663 0.663 0.002  -1.33
Mn 0.424 0.424 0.239  -1.35
Mn 0.570 0.070 0.770  1.85
Mn 0.430 0.930 0.230  1.85
Mn 0.576 0.576 0.761  -1.35
Mn 0.930 0.430 0.230  1.85
Mn 0.070 0.570 0.770  1.85
Mn 0.337 0.337 0.998  -1.33
Mn 0.500 0.500 0.500  2.16
Ho 0.138 0.138 0.581  -0.17
Ho 0.862 0.862 0.419  -0.17
Re 0.000 0.000 0.000  -0.01

***

18.
HoMn2Re | PBE | relaxed

Results
- SG: R-3m
- DFT total energy: -8.3010 eV per atom
- Total moment: 5.5 μB per formula unit
- D(E_F): 5.0 states/eV/cell

Unit cell a=2.943 b=2.943 c=9.233 alpha=80.83 beta=80.83 gamma=60.00
Last column: magnetic moment on the atom in μB.
Positions (direct):
Re 0.000 0.000 0.000  -0.36
Ho 0.500 0.500 0.500  -0.26
Mn 0.261 0.261 0.218  2.94
Mn 0.739 0.739 0.782  2.94

***

19.
HoMn6Re2 | PBE | relaxed

Results
- SG: Immm
- DFT total energy: -9.0528 eV per atom
- Total moment: 0.9 μB per formula unit
- D(E_F): 12.2 states/eV/cell

Unit cell a=2.803 b=6.615 c=7.579 alpha=115.87 beta=100.68 gamma=90.00
Last column: magnetic moment on the atom in μB.
Positions (direct):
Mn 0.313 0.996 0.626  0.30
Mn 0.687 0.369 0.374  0.30
Mn 0.500 0.655 0.000  -0.11
Mn 0.500 0.345 0.000  -0.11
Mn 0.687 0.004 0.374  0.30
Mn 0.313 0.631 0.626  0.30
Re 0.856 0.356 0.713  -0.03
Re 0.144 0.644 0.287  -0.03
Ho 0.000 0.000 0.000  -0.01

***

20.
HoMnReSi3 | PBE | relaxed

Results
- SG: Cmcm
- Uncorrected formation energy: -0.2043 eV per atom
- DFT total energy: -7.2817 eV per atom
- Total moment: 0.0 μB per formula unit
- D(E_F): 6.1 states/eV/cell

Unit cell a=5.428 b=7.587 c=6.515 alpha=125.61 beta=90.00 gamma=90.00
Positions (direct):
Si 0.750 0.762 0.524
Si 0.000 0.761 0.000
Si 0.000 0.239 0.000
Si 0.250 0.238 0.476
Si 0.500 0.761 0.000
Si 0.500 0.239 0.000
Mn 0.750 0.962 0.925
Mn 0.250 0.038 0.075
Ho 0.250 0.758 0.516
Ho 0.750 0.242 0.484
Re 0.250 0.452 0.904
Re 0.750 0.548 0.096